Entry from Alexandria: crystalline LiVCdF6 at its relaxed geometry (PBE+U).

Total moment: 2.00 μB per formula unit
E_tot: -5.08 eV/atom

abc: 5.2409 5.2409 9.7072
angles: 90.00 90.00 120.00
Space group P-31c (No. 163)
Symmetry-distinct sites (fractional):
Li 0.3333 0.6667 0.2500 [2 per cell]
V 0.3333 0.6667 0.7500 [2 per cell]
Cd 0.0000 0.0000 0.0000 [2 per cell]
F 0.0116 0.3589 0.8624 [12 per cell]



Entry from Alexandria: crystalline Li2VCdF8 at its relaxed geometry (PBE+U).

Total moment: 1.00 μB per formula unit
E_tot: -4.92 eV/atom

abc: 4.723 6.773 4.728
angles: 90.00 93.08 90.00
Space group P2/m (No. 10)
Symmetry-distinct sites (fractional):
Li 0.000 0.218 0.000 [2 per cell]
V 0.500 0.500 0.500 [1 per cell]
Cd 0.500 0.000 0.500 [1 per cell]
F 0.189 0.000 0.812 [2 per cell]
F 0.236 0.500 0.766 [2 per cell]
F 0.297 0.292 0.299 [4 per cell]